ScBeCuSb | PBE-GGA | relaxed

Output
Crystal system: cubic

abc: 6.452 6.452 6.452
angles: 90.00 90.00 90.00
Space group F-43m (No. 216)
One atom of each set of equivalent atoms:
Sc 0.000 0.000 0.000 x4
Be 0.250 0.250 0.250 x4
Cu 0.250 0.250 0.750 x4
Sb 0.000 0.000 0.500 x4

ScBeCuSb | PBE-GGA | relaxed

Output
Crystal system: cubic

abc: 6.507 6.507 6.507
angles: 90.00 90.00 90.00
Space group F-43m (No. 216)
One atom of each set of equivalent atoms:
Sc 0.000 0.000 0.000 x4
Be 0.250 0.250 0.750 x4
Cu 0.000 0.000 0.500 x4
Sb 0.250 0.250 0.250 x4

BeZnCuSb | PBE-GGA | relaxed

Output
Crystal system: cubic

abc: 6.356 6.356 6.356
angles: 90.00 90.00 90.00
Space group F-43m (No. 216)
One atom of each set of equivalent atoms:
Be 0.000 0.000 0.000 x4
Zn 0.250 0.250 0.750 x4
Cu 0.000 0.000 0.500 x4
Sb 0.250 0.250 0.250 x4

Computed values of excess energy over the best structure of this formula in the dataset (unit: meV per atom) for the preceding records, in sequence: 0, 60, 0.